1.
## Y4SiS2Cl (PBE-GGA)

Data for a relaxed Y4SiS2Cl crystal.

```
8
Lattice="-2.455 3.075 0.609 -5.122 -4.388 1.505 0.068 -1.304 6.860" Properties=species:S:1:pos:R:3 pbc="T T T"
S 0.068 -1.304 6.860
S -1.193 0.885 3.735
Cl -3.789 -0.656 1.057
Y -3.899 -4.325 6.123
Y -2.425 -0.491 5.721
Y -3.611 1.708 2.851
Y -5.085 -2.126 3.253
Si -2.527 -2.846 4.182
```

## Properties
Formation energy without anion corrections   -12.6 eV per formula unit

2.
## LiCaTm2Au4 (PBE-GGA)

Data for a relaxed LiCaTm2Au4 crystal.

```
8
Lattice="4.933 0.000 0.000 2.467 4.272 0.000 2.467 1.424 8.103" Properties=species:S:1:pos:R:3 pbc="T T T"
Li 4.933 2.848 4.052
Tm 2.467 1.424 2.143
Tm 7.400 4.272 5.960
Au 4.933 2.848 1.147
Au 2.467 1.424 5.066
Au 4.933 2.848 6.957
Au 7.400 4.272 3.037
Ca 0.000 0.000 0.000
```

## Properties
Energy of formation   -0.756 eV per atom